(1)
An optimized crystal structure of KAlIn. Source: Alexandria via LeMat-Bulk, functional PBE.

## Properties
Density of states at the Fermi level (states/eV/f.u.): 4.4
Total DFT energy (no corrections) (Ry per atom): -0.1310
Energy of formation from the pure elements (eV per atom): 0.744
Size of the total moment (μB/f.u.): 0.0
Energy relative to the lowest polymorph listed for this composition (meV/atom): 641.4

Cell and atoms, written as CIF:
```
data_KAlIn
_cell_length_a 7.681
_cell_length_b 7.681
_cell_length_c 7.681
_cell_angle_alpha 90.00
_cell_angle_beta 90.00
_cell_angle_gamma 90.00
_space_group_name_H-M_alt 'F -4 3 m'
_space_group_IT_number 216
_space_group_name_Hall 'F -4 2 3'
loop_
_atom_site_label
_atom_site_type_symbol
_atom_site_fract_x
_atom_site_fract_y
_atom_site_fract_z
K1 K 0.000 0.000 0.000
Al1 Al 0.250 0.250 0.250
In1 In 0.250 0.250 0.750
```

(2)
An optimized crystal structure of KAlIn. Source: Alexandria via LeMat-Bulk, functional PBE.

## Properties
Density of states at the Fermi level (states/eV/f.u.): 1.5
Total DFT energy (no corrections) (Ry per atom): -0.1769
Energy of formation from the pure elements (eV per atom): 0.119
Size of the total moment (μB/f.u.): 0.0
Energy relative to the lowest polymorph listed for this composition (meV/atom): 16.2

Cell and atoms, written as CIF:
```
data_KAlIn
_cell_length_a 3.227
_cell_length_b 4.427
_cell_length_c 12.675
_cell_angle_alpha 90.00
_cell_angle_beta 90.00
_cell_angle_gamma 90.00
_space_group_name_H-M_alt 'I m m 2'
_space_group_IT_number 44
loop_
_space_group_symop_operation_xyz
'x,y,z'
'-x,-y,z'
'-x,y,z'
'x,-y,z'
'x+1/2,y+1/2,z+1/2'
'-x+1/2,-y+1/2,z+1/2'
'-x+1/2,y+1/2,z+1/2'
'x+1/2,-y+1/2,z+1/2'
loop_
_atom_site_label
_atom_site_type_symbol
_atom_site_fract_x
_atom_site_fract_y
_atom_site_fract_z
K1 K 0.000 0.000 0.000
Al1 Al 0.000 0.000 0.701
In1 In 0.000 0.000 0.294
```

(3)
An optimized crystal structure of KAl2In. Source: Alexandria via LeMat-Bulk, functional PBE.

## Properties
Density of states at the Fermi level (states/eV/f.u.): 1.1
Total DFT energy (no corrections) (Ry per atom): -0.2008
Energy of formation from the pure elements (eV per atom): 0.099
Size of the total moment (μB/f.u.): 0.0

Cell and atoms, written as CIF:
```
data_KAl2In
_cell_length_a 3.197
_cell_length_b 3.986
_cell_length_c 8.199
_cell_angle_alpha 90.00
_cell_angle_beta 90.00
_cell_angle_gamma 90.00
_space_group_name_H-M_alt 'P m m 2'
_space_group_IT_number 25
loop_
_space_group_symop_operation_xyz
'x,y,z'
'-x,-y,z'
'-x,y,z'
'x,-y,z'
loop_
_atom_site_label
_atom_site_type_symbol
_atom_site_fract_x
_atom_site_fract_y
_atom_site_fract_z
K1 K 0.000 0.000 0.000
Al1 Al 0.000 0.000 0.456
Al2 Al 0.500 0.500 0.313
In1 In 0.500 0.500 0.675
```

(4)
An optimized crystal structure of KAl2In. Source: Alexandria via LeMat-Bulk, functional PBE.

## Properties
Density of states at the Fermi level (states/eV/f.u.): 1.9
Total DFT energy (no corrections) (Ry per atom): -0.1941
Energy of formation from the pure elements (eV per atom): 0.189
Size of the total moment (μB/f.u.): 0.0

Cell and atoms, written as CIF:
```
data_KAl2In
_cell_length_a 3.261
_cell_length_b 4.204
_cell_length_c 7.906
_cell_angle_alpha 90.00
_cell_angle_beta 90.33
_cell_angle_gamma 90.00
_space_group_name_H-M_alt 'P 1 2/m 1'
_space_group_IT_number 10
loop_
_space_group_symop_operation_xyz
'x,y,z'
'-x,-y,-z'
'-x,y,-z'
'x,-y,z'
loop_
_atom_site_label
_atom_site_type_symbol
_atom_site_fract_x
_atom_site_fract_y
_atom_site_fract_z
K1 K 0.000 0.000 0.000
Al1 Al 0.499 0.500 0.682
In1 In 0.000 0.000 0.500
```

(5)
An optimized crystal structure of KAl2In. Source: Alexandria via LeMat-Bulk, functional PBE.

## Properties
Density of states at the Fermi level (states/eV/f.u.): 1.4
Total DFT energy (no corrections) (Ry per atom): -0.2021
Energy of formation from the pure elements (eV per atom): 0.081
Size of the total moment (μB/f.u.): 0.0

Cell and atoms, written as CIF:
```
data_KAl2In
_cell_length_a 7.813
_cell_length_b 4.513
_cell_length_c 7.416
_cell_angle_alpha 90.00
_cell_angle_beta 110.50
_cell_angle_gamma 90.00
_space_group_name_H-M_alt 'C 1 m 1'
_space_group_IT_number 8
loop_
_space_group_symop_operation_xyz
'x,y,z'
'x,-y,z'
'x+1/2,y+1/2,z'
'x+1/2,-y+1/2,z'
loop_
_atom_site_label
_atom_site_type_symbol
_atom_site_fract_x
_atom_site_fract_y
_atom_site_fract_z
K1 K 0.000 0.000 0.000
Al1 Al 0.038 0.500 0.616
Al2 Al 0.204 0.000 0.612
In1 In 0.289 0.500 0.369
```

(6)
An optimized crystal structure of KAl2In. Source: Alexandria via LeMat-Bulk, functional PBE.

## Properties
Density of states at the Fermi level (states/eV/f.u.): 2.6
Total DFT energy (no corrections) (Ry per atom): -0.1808
Energy of formation from the pure elements (eV per atom): 0.370
Size of the total moment (μB/f.u.): 0.0

Cell and atoms, written as CIF:
```
data_KAl2In
_cell_length_a 4.626
_cell_length_b 4.626
_cell_length_c 4.728
_cell_angle_alpha 90.00
_cell_angle_beta 90.00
_cell_angle_gamma 90.00
_space_group_name_H-M_alt 'P 4/m m m'
_space_group_IT_number 123
_space_group_name_Hall '-P 4 2'
loop_
_atom_site_label
_atom_site_type_symbol
_atom_site_fract_x
_atom_site_fract_y
_atom_site_fract_z
K1 K 0.000 0.000 0.000
Al1 Al 0.000 0.500 0.500
In1 In 0.500 0.500 0.000
```

(7)
An optimized crystal structure of KAl2In2. Source: Alexandria via LeMat-Bulk, functional PBE.

## Properties
Density of states at the Fermi level (states/eV/f.u.): 1.8
Total DFT energy (no corrections) (Ry per atom): -0.2072
Energy of formation from the pure elements (eV per atom): -0.007
Size of the total moment (μB/f.u.): 0.0
Energy relative to the lowest polymorph listed for this composition (meV/atom): 0.0

Cell and atoms, written as CIF:
```
data_KAl2In2
_cell_length_a 4.749
_cell_length_b 4.749
_cell_length_c 11.889
_cell_angle_alpha 90.00
_cell_angle_beta 90.00
_cell_angle_gamma 90.00
_space_group_name_H-M_alt 'I 4/m m m'
_space_group_IT_number 139
_space_group_name_Hall '-I 4 2'
loop_
_atom_site_label
_atom_site_type_symbol
_atom_site_fract_x
_atom_site_fract_y
_atom_site_fract_z
K1 K 0.000 0.000 0.000
Al1 Al 0.000 0.000 0.390
In1 In 0.000 0.500 0.250
```

(8)
An optimized crystal structure of KAlIn. Source: Alexandria via LeMat-Bulk, functional PBE.

## Properties
Density of states at the Fermi level (states/eV/f.u.): 3.7
Total DFT energy (no corrections) (Ry per atom): -0.1641
Energy of formation from the pure elements (eV per atom): 0.294
Size of the total moment (μB/f.u.): 0.0
Energy relative to the lowest polymorph listed for this composition (meV/atom): 190.7

Cell and atoms, written as CIF:
```
data_KAlIn
_cell_length_a 7.314
_cell_length_b 7.314
_cell_length_c 7.314
_cell_angle_alpha 90.00
_cell_angle_beta 90.00
_cell_angle_gamma 90.00
_space_group_name_H-M_alt 'F -4 3 m'
_space_group_IT_number 216
_space_group_name_Hall 'F -4 2 3'
loop_
_atom_site_label
_atom_site_type_symbol
_atom_site_fract_x
_atom_site_fract_y
_atom_site_fract_z
K1 K 0.000 0.000 0.000
Al1 Al 0.250 0.250 0.250
In1 In 0.000 0.000 0.500
```

> What is the total DFT energy (no corrections) in the fourth record?

-0.1941 Ry per atom

> Which value of energy of formation from the pure elements does entry 2 give?

0.119 eV per atom